(1)
KNpCoSe4 | PBE | relaxed

Values from the calculation:
As for the raw formation energy: -5.50 eV/f.u. The total energy is -5.7974 eV per atom. The calculation puts the density of states at the Fermi level at 11.0 states/eV/f.u. Its space group is P2_1/m (11).

Lattice parameters (Å, degrees): 6.6607 6.1960 9.3002 90.00 108.08 90.00
Last column: nearest neighbours and their distance in Å.
Positions (direct):
K1 0.2429 0.2500 0.4418  8 Se 3.36-3.56
K2 0.7571 0.7500 0.5582  8 Se 3.36-3.56
Np1 0.2506 0.2500 0.9484  6 Se 2.80-2.96
Np2 0.7494 0.7500 0.0516  6 Se 2.80-2.96
Co1 0.2686 0.7500 0.1716  4 Se 2.28-2.30
Co2 0.7314 0.2500 0.8284  4 Se 2.28-2.30
Se1 0.0661 0.7500 0.3317  1 Co 2.30
Se2 0.0820 0.7500 0.9187  1 Co 2.29
Se3 0.4776 0.5103 0.7876  1 Co 2.28
Se4 0.4776 0.9897 0.7876  1 Co 2.28
Se5 0.5224 0.0103 0.2124  1 Co 2.28
Se6 0.5224 0.4897 0.2124  1 Co 2.28
Se7 0.9180 0.2500 0.0813  1 Co 2.29
Se8 0.9339 0.2500 0.6683  1 Co 2.30

---

(2)
KNpCoSe3 | PBE | relaxed

Values from the calculation:
As for the raw formation energy: -5.51 eV/f.u. The total energy is -6.1841 eV per atom. The calculation puts the density of states at the Fermi level at 11.3 states/eV/f.u. Its space group is P2_1/m (11).

Lattice parameters (Å, degrees): 9.1841 4.0153 9.4911 90.00 109.21 90.00
Last column: nearest neighbours and their distance in Å.
Positions (direct):
K1 0.1980 0.2500 0.2333  7 Se 3.35-3.45
K2 0.8020 0.7500 0.7667  7 Se 3.35-3.45
Np1 0.3216 0.7500 0.8395  6 Se 2.81-2.87
Np2 0.6784 0.2500 0.1605  6 Se 2.81-2.87
Co1 0.0809 0.2500 0.5874  4 Se 2.34-2.44
Co2 0.9191 0.7500 0.4126  4 Se 2.34-2.44
Se1 0.1125 0.2500 0.8529  1 Co 2.44
Se2 0.1877 0.7500 0.5254  3 Co 2.34-2.39
Se3 0.4554 0.7500 0.1592  3 Np 2.86-2.87
Se4 0.5446 0.2500 0.8408  3 Np 2.86-2.87
Se5 0.8123 0.2500 0.4746  3 Co 2.34-2.39
Se6 0.8875 0.7500 0.1471  1 Co 2.44